# Hf4InGaO2 | the Open Quantum Materials Database | PBE | optimized geometry
# VASP energy = -8.19 eV per atom
data_Hf4InGaO2
_cell_length_a 3.1284
_cell_length_b 3.1284
_cell_length_c 15.1087
_cell_angle_alpha 90.00
_cell_angle_beta 90.00
_cell_angle_gamma 120.00
_symmetry_space_group_name_H-M 'P -6 m 2'
_symmetry_Int_Tables_number 187
_symmetry_space_group_name_Hall 'P -6 2'
loop_
_atom_site_label
_atom_site_type_symbol
_atom_site_fract_x
_atom_site_fract_y
_atom_site_fract_z
_atom_site_occupancy
Hf1 Hf 0.0000 0.0000 0.1461 1
Hf2 Hf 0.6667 0.3333 0.3356 1
In1 In 0.0000 0.0000 0.5000 1
Ga1 Ga 0.6667 0.3333 0.0000 1
O1 O 0.3333 0.6667 0.2399 1

---

# HfGaIr | the Open Quantum Materials Database | PBE | optimized geometry
# VASP energy = -7.37 eV per atom
data_HfGaIr
_cell_length_a 6.239
_cell_length_b 6.239
_cell_length_c 6.239
_cell_angle_alpha 90.00
_cell_angle_beta 90.00
_cell_angle_gamma 90.00
_symmetry_space_group_name_H-M 'F -4 3 m'
_symmetry_Int_Tables_number 216
_symmetry_space_group_name_Hall 'F -4 2 3'
loop_
_atom_site_label
_atom_site_type_symbol
_atom_site_fract_x
_atom_site_fract_y
_atom_site_fract_z
_atom_site_occupancy
Hf1 Hf 0.000 0.000 0.000 1
Ga1 Ga 0.250 0.250 0.750 1
Ir1 Ir 0.250 0.250 0.250 1

---

# Hf2GaIr | the Open Quantum Materials Database | PBE | optimized geometry
# VASP energy = -8.22 eV per atom
data_Hf2GaIr
_cell_length_a 6.562
_cell_length_b 6.562
_cell_length_c 6.562
_cell_angle_alpha 90.00
_cell_angle_beta 90.00
_cell_angle_gamma 90.00
_symmetry_space_group_name_H-M 'F -4 3 m'
_symmetry_Int_Tables_number 216
_symmetry_space_group_name_Hall 'F -4 2 3'
loop_
_atom_site_label
_atom_site_type_symbol
_atom_site_fract_x
_atom_site_fract_y
_atom_site_fract_z
_atom_site_occupancy
Hf1 Hf 0.000 0.000 0.000 1
Hf2 Hf 0.250 0.250 0.250 1
Ga1 Ga 0.000 0.000 0.500 1
Ir1 Ir 0.250 0.250 0.750 1

---

# HfGa2Ir2 | the Open Quantum Materials Database | PBE | optimized geometry
# VASP energy = -7.28 eV per atom
data_HfGa2Ir2
_cell_length_a 3.684
_cell_length_b 3.684
_cell_length_c 12.250
_cell_angle_alpha 90.00
_cell_angle_beta 90.00
_cell_angle_gamma 90.00
_symmetry_space_group_name_H-M 'I 4/m m m'
_symmetry_Int_Tables_number 139
_symmetry_space_group_name_Hall '-I 4 2'
loop_
_atom_site_label
_atom_site_type_symbol
_atom_site_fract_x
_atom_site_fract_y
_atom_site_fract_z
_atom_site_occupancy
Hf1 Hf 0.000 0.000 0.000 1
Ga1 Ga 0.000 0.500 0.250 1
Ir1 Ir 0.000 0.000 0.396 1

---

# HfGaIr2 | the Open Quantum Materials Database | PBE | optimized geometry
# VASP energy = -8.44 eV per atom
data_HfGaIr2
_cell_length_a 4.210
_cell_length_b 4.210
_cell_length_c 3.587
_cell_angle_alpha 90.00
_cell_angle_beta 90.00
_cell_angle_gamma 90.00
_symmetry_space_group_name_H-M 'P 4/m m m'
_symmetry_Int_Tables_number 123
_symmetry_space_group_name_Hall '-P 4 2'
loop_
_atom_site_label
_atom_site_type_symbol
_atom_site_fract_x
_atom_site_fract_y
_atom_site_fract_z
_atom_site_occupancy
Hf1 Hf 0.000 0.000 0.000 1
Ga1 Ga 0.500 0.500 0.000 1
Ir1 Ir 0.000 0.500 0.500 1

---

# HfGaIr2 | the Open Quantum Materials Database | PBE | optimized geometry
# VASP energy = -8.29 eV per atom
data_HfGaIr2
_cell_length_a 6.689
_cell_length_b 7.248
_cell_length_c 5.395
_cell_angle_alpha 90.00
_cell_angle_beta 90.00
_cell_angle_gamma 90.00
_symmetry_space_group_name_H-M 'P n m a'
_symmetry_Int_Tables_number 62
_symmetry_space_group_name_Hall '-P 2ac 2n'
loop_
_atom_site_label
_atom_site_type_symbol
_atom_site_fract_x
_atom_site_fract_y
_atom_site_fract_z
_atom_site_occupancy
Hf1 Hf 0.019 0.250 0.138 1
Ga1 Ga 0.106 0.750 0.366 1
Ir1 Ir 0.195 0.039 0.599 1

---

# HfGaIr2 | the Open Quantum Materials Database | PBE | optimized geometry
# VASP energy = -7.94 eV per atom
data_HfGaIr2
_cell_length_a 6.390
_cell_length_b 6.390
_cell_length_c 6.390
_cell_angle_alpha 90.00
_cell_angle_beta 90.00
_cell_angle_gamma 90.00
_symmetry_space_group_name_H-M 'F -4 3 m'
_symmetry_Int_Tables_number 216
_symmetry_space_group_name_Hall 'F -4 2 3'
loop_
_atom_site_label
_atom_site_type_symbol
_atom_site_fract_x
_atom_site_fract_y
_atom_site_fract_z
_atom_site_occupancy
Hf1 Hf 0.000 0.000 0.000 1
Ga1 Ga 0.250 0.250 0.750 1
Ir1 Ir 0.000 0.000 0.500 1
Ir2 Ir 0.250 0.250 0.250 1

---

# HfGaIr | the Open Quantum Materials Database | PBE | optimized geometry
# VASP energy = -7.87 eV per atom
data_HfGaIr
_cell_length_a 4.132
_cell_length_b 4.132
_cell_length_c 23.917
_cell_angle_alpha 90.00
_cell_angle_beta 90.00
_cell_angle_gamma 90.00
_symmetry_space_group_name_H-M 'I 41/a m d'
_symmetry_Int_Tables_number 141
loop_
_symmetry_equiv_pos_as_xyz
'x,y,z'
'-x,-y,-z'
'-y+1/4,x+3/4,z+1/4'
'y+1/4,-x+3/4,-z+1/4'
'-x+1/2,-y,z+1/2'
'x+1/2,y,-z+1/2'
'y+1/4,-x+1/4,z+3/4'
'-y+1/4,x+1/4,-z+3/4'
'x,-y,-z'
'-x,y,z'
'-y+1/4,-x+1/4,-z+3/4'
'y+1/4,x+1/4,z+3/4'
'-x+1/2,y,-z+1/2'
'x+1/2,-y,z+1/2'
'y+1/4,x+3/4,-z+1/4'
'-y+1/4,-x+3/4,z+1/4'
'x+1/2,y+1/2,z+1/2'
'-x+1/2,-y+1/2,-z+1/2'
'-y+3/4,x+1/4,z+3/4'
'y+3/4,-x+1/4,-z+3/4'
'-x,-y+1/2,z'
'x,y+1/2,-z'
'y+3/4,-x+3/4,z+1/4'
'-y+3/4,x+3/4,-z+1/4'
'x+1/2,-y+1/2,-z+1/2'
'-x+1/2,y+1/2,z+1/2'
'-y+3/4,-x+3/4,-z+1/4'
'y+3/4,x+3/4,z+1/4'
'-x,y+1/2,-z'
'x,-y+1/2,z'
'y+3/4,x+1/4,-z+3/4'
'-y+3/4,-x+1/4,z+3/4'
loop_
_atom_site_label
_atom_site_type_symbol
_atom_site_fract_x
_atom_site_fract_y
_atom_site_fract_z
_atom_site_occupancy
Hf1 Hf 0.000 0.250 0.298 1
Ga1 Ga 0.000 0.250 0.800 1
Ir1 Ir 0.000 0.250 0.125 1

---

# HfGaIr | the Open Quantum Materials Database | PBE | optimized geometry
# VASP energy = -7.88 eV per atom
data_HfGaIr
_cell_length_a 3.946
_cell_length_b 3.946
_cell_length_c 25.820
_cell_angle_alpha 90.00
_cell_angle_beta 90.00
_cell_angle_gamma 90.00
_symmetry_space_group_name_H-M 'I 41/a m d'
_symmetry_Int_Tables_number 141
loop_
_symmetry_equiv_pos_as_xyz
'x,y,z'
'-x,-y,-z'
'-y+1/4,x+3/4,z+1/4'
'y+1/4,-x+3/4,-z+1/4'
'-x+1/2,-y,z+1/2'
'x+1/2,y,-z+1/2'
'y+1/4,-x+1/4,z+3/4'
'-y+1/4,x+1/4,-z+3/4'
'x,-y,-z'
'-x,y,z'
'-y+1/4,-x+1/4,-z+3/4'
'y+1/4,x+1/4,z+3/4'
'-x+1/2,y,-z+1/2'
'x+1/2,-y,z+1/2'
'y+1/4,x+3/4,-z+1/4'
'-y+1/4,-x+3/4,z+1/4'
'x+1/2,y+1/2,z+1/2'
'-x+1/2,-y+1/2,-z+1/2'
'-y+3/4,x+1/4,z+3/4'
'y+3/4,-x+1/4,-z+3/4'
'-x,-y+1/2,z'
'x,y+1/2,-z'
'y+3/4,-x+3/4,z+1/4'
'-y+3/4,x+3/4,-z+1/4'
'x+1/2,-y+1/2,-z+1/2'
'-x+1/2,y+1/2,z+1/2'
'-y+3/4,-x+3/4,-z+1/4'
'y+3/4,x+3/4,z+1/4'
'-x,y+1/2,-z'
'x,-y+1/2,z'
'y+3/4,x+1/4,-z+3/4'
'-y+3/4,-x+1/4,z+3/4'
loop_
_atom_site_label
_atom_site_type_symbol
_atom_site_fract_x
_atom_site_fract_y
_atom_site_fract_z
_atom_site_occupancy
Hf1 Hf 0.000 0.250 0.295 1
Ga1 Ga 0.000 0.250 0.125 1
Ir1 Ir 0.000 0.250 0.791 1

---

# HfGaIr2 | the Open Quantum Materials Database | PBE | optimized geometry
# VASP energy = -8.39 eV per atom
data_HfGaIr2
_cell_length_a 3.023
_cell_length_b 3.023
_cell_length_c 6.928
_cell_angle_alpha 90.00
_cell_angle_beta 90.00
_cell_angle_gamma 90.00
_symmetry_space_group_name_H-M 'P 4/m m m'
_symmetry_Int_Tables_number 123
_symmetry_space_group_name_Hall '-P 4 2'
loop_
_atom_site_label
_atom_site_type_symbol
_atom_site_fract_x
_atom_site_fract_y
_atom_site_fract_z
_atom_site_occupancy
Hf1 Hf 0.000 0.000 0.000 1
Ga1 Ga 0.000 0.000 0.500 1
Ir1 Ir 0.500 0.500 0.271 1

---

# Li2HfMgGa2Ir2 | the Open Quantum Materials Database | PBE | optimized geometry
# VASP energy = -5.46 eV per atom
data_Li2HfMgGa2Ir2
_cell_length_a 4.419
_cell_length_b 4.419
_cell_length_c 6.238
_cell_angle_alpha 90.00
_cell_angle_beta 90.00
_cell_angle_gamma 90.00
_symmetry_space_group_name_H-M 'P -4 m 2'
_symmetry_Int_Tables_number 115
_symmetry_space_group_name_Hall 'P -4 -2'
loop_
_atom_site_label
_atom_site_type_symbol
_atom_site_fract_x
_atom_site_fract_y
_atom_site_fract_z
_atom_site_occupancy
Li1 Li 0.000 0.500 0.229 1
Hf1 Hf 0.500 0.500 0.500 1
Mg1 Mg 0.000 0.000 0.000 1
Ga1 Ga 0.000 0.000 0.500 1
Ga2 Ga 0.500 0.500 0.000 1
Ir1 Ir 0.000 0.500 0.744 1

---

# Li2HfNbGa2Ir2 | the Open Quantum Materials Database | PBE | optimized geometry
# VASP energy = -6.58 eV per atom
data_Li2HfNbGa2Ir2
_cell_length_a 4.399
_cell_length_b 4.399
_cell_length_c 6.212
_cell_angle_alpha 90.00
_cell_angle_beta 90.00
_cell_angle_gamma 90.00
_symmetry_space_group_name_H-M 'P -4 m 2'
_symmetry_Int_Tables_number 115
_symmetry_space_group_name_Hall 'P -4 -2'
loop_
_atom_site_label
_atom_site_type_symbol
_atom_site_fract_x
_atom_site_fract_y
_atom_site_fract_z
_atom_site_occupancy
Li1 Li 0.000 0.500 0.245 1
Hf1 Hf 0.500 0.500 0.500 1
Nb1 Nb 0.000 0.000 0.000 1
Ga1 Ga 0.000 0.000 0.500 1
Ga2 Ga 0.500 0.500 0.000 1
Ir1 Ir 0.000 0.500 0.760 1

---

Which value of VASP energy does entry 10 give? -8.39 eV per atom

---

Which of these has the highest VASP energy? Li2HfMgGa2Ir2

---

Which formula does entry 6 have? HfGaIr2